[1]
Sc2Fe5C4: relaxed, PBE.

For the calculated total energy, the calculation gives -0.6249 Ry/atom.

The structure belongs to space group Fmmm (No. 69); the cell edges are 4.8827, 8.9414 and 10.1459 Å and the angles 90.00°, 90.00° and 90.00°. The distinct sites, in fractional coordinates, are Sc at (0.0000, 0.0000, 0.1447), Fe at (0.0000, 0.0000, 0.5000), Fe at (0.2500, 0.2500, 0.0000), Fe at (0.2500, 0.2500, 0.2500) and C at (0.0000, 0.1564, 0.3666).

[2]
ScFe3C3: relaxed, PBE.

For the calculated total energy, the calculation gives -0.6252 Ry/atom.

The structure belongs to space group P6_3/mmc (No. 194); the cell edges are 3.1920, 3.1920 and 15.9217 Å and the angles 90.00°, 90.00° and 120.00°. The distinct sites, in fractional coordinates, are Sc at (0.0000, 0.0000, 0.0000), Fe at (0.3333, 0.6667, 0.1334), Fe at (0.3333, 0.6667, 0.7500), C at (0.3333, 0.6667, 0.2500) and C at (0.3333, 0.6667, 0.5974).

[3]
TmScFe2Si2C: relaxed, PBE.

For the calculated total energy, the calculation gives -0.5490 Ry/atom.

The structure belongs to space group Cm (No. 8); the cell edges are 10.3373, 3.8341 and 6.5233 Å and the angles 90.00°, 129.10° and 90.00°. The distinct sites, in fractional coordinates, are Tm at (0.0000, 0.0000, 0.0000), Sc at (0.3817, 0.5000, 0.3450), Fe at (0.1426, 0.5000, 0.4789), Fe at (0.2351, 0.0000, 0.8623), Si at (0.0955, 0.5000, 0.7770), Si at (0.2839, 0.0000, 0.5614) and C at (0.4366, 0.0000, 0.1749).

[4]
Sc4FeSnC2: relaxed, PBE.

For the calculated total energy, the calculation gives -0.5419 Ry/atom.

The structure belongs to space group P-6m2 (No. 187); the cell edges are 3.3134, 3.3134 and 14.3402 Å and the angles 90.00°, 90.00° and 120.00°. The distinct sites, in fractional coordinates, are Sc at (0.0000, 0.0000, 0.1491), Sc at (0.3333, 0.6667, 0.3213), Fe at (0.3333, 0.6667, 0.0000), Sn at (0.0000, 0.0000, 0.5000) and C at (0.6667, 0.3333, 0.2378).

One value per record, in order, for size of the total moment: 0.007, 1.721, 0.020, 1.613 μB per formula unit.